1.
Entry from the Alexandria database: crystalline Ho3Tl2Ga2 at its relaxed geometry (PBE-GGA).

```
data_Ho3Tl2Ga2
_symmetry_space_group_name_H-M 'C m m m'
_symmetry_Int_Tables_number 65
_symmetry_space_group_name_Hall '-C 2 2'
_cell_length_a 4.240
_cell_length_b 22.082
_cell_length_c 3.628
_cell_angle_alpha 90.00
_cell_angle_beta 90.00
_cell_angle_gamma 90.00
loop_
_atom_site_label
_atom_site_type_symbol
_atom_site_fract_x
_atom_site_fract_y
_atom_site_fract_z
_atom_site_occupancy
Ho1 Ho 0.000 0.000 0.000 1
Ho2 Ho 0.000 0.168 0.000 1
Tl1 Tl 0.000 0.420 0.500 1
Ga1 Ga 0.000 0.283 0.500 1
```

Its final energy is -55.613 eV/cell. The value obtained for the density of states at the Fermi level is 7.13 states/eV/cell. Its crystal system is orthorhombic.



2.
Entry from the Alexandria database: crystalline Ho6TlGa2 at its relaxed geometry (PBE-GGA).

```
data_Ho6TlGa2
_symmetry_space_group_name_H-M 'I m m m'
_symmetry_Int_Tables_number 71
_symmetry_space_group_name_Hall '-I 2 2'
_cell_length_a 9.622
_cell_length_b 9.637
_cell_length_c 10.544
_cell_angle_alpha 90.00
_cell_angle_beta 90.00
_cell_angle_gamma 90.00
loop_
_atom_site_label
_atom_site_type_symbol
_atom_site_fract_x
_atom_site_fract_y
_atom_site_fract_z
_atom_site_occupancy
Ho1 Ho 0.000 0.203 0.241 1
Ho2 Ho 0.203 0.500 0.179 1
Ho3 Ho 0.222 0.316 0.500 1
Tl1 Tl 0.000 0.000 0.000 1
Tl2 Tl 0.000 0.000 0.500 1
Ga1 Ga 0.000 0.353 0.000 1
Ga2 Ga 0.000 0.500 0.379 1
```

Its final energy is -157.888 eV/cell. The value obtained for the density of states at the Fermi level is 23.31 states/eV/cell. Its crystal system is orthorhombic.



3.
Entry from the Alexandria database: crystalline Ho5TlGa4 at its relaxed geometry (PBE-GGA).

```
data_Ho5TlGa4
_symmetry_space_group_name_H-M 'P 4/m m m'
_symmetry_Int_Tables_number 123
_symmetry_space_group_name_Hall '-P 4 2'
_cell_length_a 3.561
_cell_length_b 3.561
_cell_length_c 18.430
_cell_angle_alpha 90.00
_cell_angle_beta 90.00
_cell_angle_gamma 90.00
loop_
_atom_site_label
_atom_site_type_symbol
_atom_site_fract_x
_atom_site_fract_y
_atom_site_fract_z
_atom_site_occupancy
Ho1 Ho 0.000 0.000 0.000 1
Ho2 Ho 0.000 0.000 0.192 1
Ho3 Ho 0.000 0.000 0.386 1
Tl1 Tl 0.500 0.500 0.500 1
Ga1 Ga 0.500 0.500 0.095 1
Ga2 Ga 0.500 0.500 0.290 1
```

Its final energy is -42.652 eV/cell. The value obtained for the density of states at the Fermi level is 3.80 states/eV/cell. Its crystal system is tetragonal.



4.
Entry from the Alexandria database: crystalline HoTlGa2 at its relaxed geometry (PBE-GGA).

```
data_HoTlGa2
_symmetry_space_group_name_H-M 'R -3 m'
_symmetry_Int_Tables_number 166
_symmetry_space_group_name_Hall '-R 3 2"'
_cell_length_a 4.9219
_cell_length_b 4.9219
_cell_length_c 19.4165
_cell_angle_alpha 90.00
_cell_angle_beta 90.00
_cell_angle_gamma 120.00
loop_
_atom_site_label
_atom_site_type_symbol
_atom_site_fract_x
_atom_site_fract_y
_atom_site_fract_z
_atom_site_occupancy
Ho1 Ho 0.0000 0.0000 0.0000 1
Tl1 Tl 0.0000 0.0000 0.5000 1
Ga1 Ga 0.0000 0.0000 0.3568 1
```

Its final energy is -36.764 eV/cell. Its energy above the most stable polymorph in this dataset is 2.21 eV/f.u. The value obtained for the density of states at the Fermi level is 5.49 states/eV/cell. Its crystal system is trigonal.



5.
Entry from the Alexandria database: crystalline Ho6Tl6Ga at its relaxed geometry (PBE-GGA).

```
data_Ho6Tl6Ga
_symmetry_space_group_name_H-M 'P 6/m m m'
_symmetry_Int_Tables_number 191
_symmetry_space_group_name_Hall '-P 6 2'
_cell_length_a 6.4868
_cell_length_b 6.4868
_cell_length_c 10.2464
_cell_angle_alpha 90.00
_cell_angle_beta 90.00
_cell_angle_gamma 120.00
loop_
_atom_site_label
_atom_site_type_symbol
_atom_site_fract_x
_atom_site_fract_y
_atom_site_fract_z
_atom_site_occupancy
Ho1 Ho 0.0000 0.0000 0.1966 1
Ho2 Ho 0.3333 0.6667 0.0000 1
Ho3 Ho 0.3333 0.6667 0.5000 1
Tl1 Tl 0.0000 0.5000 0.2504 1
Ga1 Ga 0.0000 0.0000 0.5000 1
```

Its final energy is -46.591 eV/cell. The value obtained for the density of states at the Fermi level is 9.33 states/eV/cell. Its crystal system is hexagonal.



6.
Entry from the Alexandria database: crystalline Ho4Tl3Ga at its relaxed geometry (PBE-GGA).

```
data_Ho4Tl3Ga
_symmetry_space_group_name_H-M 'P m m 2'
_symmetry_Int_Tables_number 25
_cell_length_a 4.274
_cell_length_b 4.503
_cell_length_c 11.332
_cell_angle_alpha 90.00
_cell_angle_beta 90.00
_cell_angle_gamma 90.00
loop_
_symmetry_equiv_pos_as_xyz
'x,y,z'
'-x,-y,z'
'-x,y,z'
'x,-y,z'
loop_
_atom_site_label
_atom_site_type_symbol
_atom_site_fract_x
_atom_site_fract_y
_atom_site_fract_z
_atom_site_occupancy
Ho1 Ho 0.000 0.000 0.000 1
Ho2 Ho 0.000 0.500 0.481 1
Ho3 Ho 0.500 0.000 0.716 1
Ho4 Ho 0.500 0.500 0.220 1
Tl1 Tl 0.000 0.500 0.757 1
Tl2 Tl 0.500 0.000 0.437 1
Tl3 Tl 0.500 0.500 0.947 1
Ga1 Ga 0.000 0.000 0.266 1
```

Its final energy is -31.309 eV/cell. Its energy above the most stable polymorph in this dataset is 0.24 eV/f.u. The value obtained for the density of states at the Fermi level is 6.82 states/eV/cell. Its crystal system is orthorhombic.



7.
Entry from the Alexandria database: crystalline Ho5TlGa2 at its relaxed geometry (PBE-GGA).

```
data_Ho5TlGa2
_symmetry_space_group_name_H-M 'I 4/m c m'
_symmetry_Int_Tables_number 140
_symmetry_space_group_name_Hall '-I 4 2c'
_cell_length_a 7.710
_cell_length_b 7.710
_cell_length_c 14.267
_cell_angle_alpha 90.00
_cell_angle_beta 90.00
_cell_angle_gamma 90.00
loop_
_atom_site_label
_atom_site_type_symbol
_atom_site_fract_x
_atom_site_fract_y
_atom_site_fract_z
_atom_site_occupancy
Ho1 Ho 0.000 0.000 0.000 1
Ho2 Ho 0.166 0.334 0.144 1
Tl1 Tl 0.000 0.000 0.250 1
Ga1 Ga 0.125 0.375 0.500 1
```

Its final energy is -139.777 eV/cell. The value obtained for the density of states at the Fermi level is 25.05 states/eV/cell. Its crystal system is tetragonal.



8.
Entry from the Alexandria database: crystalline Ho4Tl2Ga at its relaxed geometry (PBE-GGA).

```
data_Ho4Tl2Ga
_symmetry_space_group_name_H-M 'P -1'
_symmetry_Int_Tables_number 2
_cell_length_a 6.937
_cell_length_b 8.324
_cell_length_c 8.352
_cell_angle_alpha 79.67
_cell_angle_beta 65.49
_cell_angle_gamma 65.56
loop_
_symmetry_equiv_pos_as_xyz
'x,y,z'
'-x,-y,-z'
loop_
_atom_site_label
_atom_site_type_symbol
_atom_site_fract_x
_atom_site_fract_y
_atom_site_fract_z
_atom_site_occupancy
Ho1 Ho 0.172 0.311 0.345 1
Ho2 Ho 0.173 0.841 0.811 1
Ho3 Ho 0.208 0.284 0.783 1
Ho4 Ho 0.277 0.716 0.217 1
Tl1 Tl 0.000 0.000 0.500 1
Tl2 Tl 0.500 0.000 0.000 1
Tl3 Tl 0.500 0.000 0.500 1
Tl4 Tl 0.500 0.500 0.500 1
Ga1 Ga 0.254 0.494 0.999 1
```

Its final energy is -55.023 eV/cell. Its energy above the most stable polymorph in this dataset is 0.30 eV/f.u. The value obtained for the density of states at the Fermi level is 13.56 states/eV/cell. Its crystal system is triclinic.



9.
Entry from the Alexandria database: crystalline Ho4Tl2Ga at its relaxed geometry (PBE-GGA).

```
data_Ho4Tl2Ga
_symmetry_space_group_name_H-M 'R -3 m'
_symmetry_Int_Tables_number 166
_symmetry_space_group_name_Hall '-R 3 2"'
_cell_length_a 5.1895
_cell_length_b 5.1895
_cell_length_c 25.4683
_cell_angle_alpha 90.00
_cell_angle_beta 90.00
_cell_angle_gamma 120.00
loop_
_atom_site_label
_atom_site_type_symbol
_atom_site_fract_x
_atom_site_fract_y
_atom_site_fract_z
_atom_site_occupancy
Ho1 Ho 0.0000 0.0000 0.1224 1
Ho2 Ho 0.0000 0.0000 0.3742 1
Tl1 Tl 0.0000 0.0000 0.2446 1
Ga1 Ga 0.0000 0.0000 0.0000 1
```

Its final energy is -83.424 eV/cell. Its energy above the most stable polymorph in this dataset is 0.00 eV/f.u. The value obtained for the density of states at the Fermi level is 22.75 states/eV/cell. Its crystal system is trigonal.